(1)
K2YAg: optimized geometry, PBE.

Cell: 7.8111 7.8111 7.8111 Å, 152.42 129.99 58.06°
Fractional coordinates of all 4 atoms:
K 0.2545 0.7545 0.5000
K 0.9473 0.9473 0.0000
Y 0.5664 0.5664 0.0000
Ag 0.7318 0.2318 0.5000

Properties
E above lowest polymorph = 214 meV/atom
Final energy = -2.5756 eV per atom
Symmetry = Imm2, No. 44
ΔE_f = 0.30 eV/atom
Calculated volume = 41.98 A^3/atom
Mass density = 2.72 g cm⁻³


(2)
MgIn2NiSn: optimized geometry, PBE.

Cell: 4.9380 4.9380 4.9547 Å, 90.00 90.00 90.00°
Fractional coordinates of all 5 atoms:
Ni 0.0000 0.0000 0.0000
Sn 0.5000 0.5000 0.5000
In 0.0000 0.5000 0.0000
Mg 0.0000 0.0000 0.5000
In 0.5000 0.0000 0.0000

Properties
Final energy = -3.3402 eV per atom
Symmetry = P4/mmm, No. 123
ΔE_f = 0.03 eV/atom
Calculated volume = 24.16 A^3/atom
Mass density = 5.93 g cm⁻³


(3)
RbSb2PbI: optimized geometry, PBE.

Cell: 5.9130 5.9130 6.7217 Å, 90.00 90.00 90.00°
Fractional coordinates of all 5 atoms:
Rb 0.5000 0.5000 0.5000
Sb 0.5000 0.0000 0.0000
Pb 0.0000 0.0000 0.0000
Sb 0.0000 0.5000 0.0000
I 0.0000 0.0000 0.5000

Properties
E above lowest polymorph = 0 meV/atom
Final energy = -2.8333 eV per atom
Symmetry = P4/mmm, No. 123
ΔE_f (raw) = 61 meV per atom
Calculated volume = 47.00 A^3/atom
Mass density = 4.69 g cm⁻³


(4)
YTmPd2: optimized geometry, PBE.

Cell: 4.0807 4.0807 6.9827 Å, 73.01 73.01 60.00°
Fractional coordinates of all 4 atoms:
Tm 0.5000 0.5000 0.5000
Pd 0.2468 0.2468 0.2595
Pd 0.7532 0.7532 0.7405
Y 0.0000 0.0000 0.0000

Properties
E above lowest polymorph = 190 meV/atom
Final energy = -6.0670 eV per atom
Symmetry = R-3m, No. 166
ΔE_f = -0.74 eV/atom
Calculated volume = 23.70 A^3/atom
Mass density = 8.25 g cm⁻³


(5)
LiEr2PaAs4: optimized geometry, PBE.

Cell: 4.1228 6.9075 7.0717 Å, 108.58 90.00 90.00°
Fractional coordinates of all 8 atoms:
Pa 0.0000 0.0000 0.0000
Er 0.0000 0.5000 0.5000
Er 0.5000 0.0000 0.5000
Li 0.5000 0.5000 0.0000
As 0.5000 0.2512 0.2446
As 0.5000 0.7488 0.7554
As 0.0000 0.7571 0.2474
As 0.0000 0.2429 0.7526

Properties
Final energy = -6.0018 eV per atom
Symmetry = P2/m, No. 10
ΔE_f = -1.11 eV/atom
Calculated volume = 23.86 A^3/atom
Mass density = 7.59 g cm⁻³


(6)
P2NClF: optimized geometry, PBE.

Cell: 4.0399 4.0399 4.4915 Å, 90.00 90.00 90.00°
Fractional coordinates of all 5 atoms:
P 0.5000 0.0000 0.0000
N 0.0000 0.0000 0.0000
F 0.5000 0.5000 0.5000
Cl 0.0000 0.0000 0.5000
P 0.0000 0.5000 0.0000

Properties
E above lowest polymorph = 0 meV/atom
Final energy = -3.6751 eV per atom
Symmetry = P4/mmm, No. 123
ΔE_f (raw) = 898 meV per atom
Calculated volume = 14.66 A^3/atom
Mass density = 2.95 g cm⁻³


Question: Which value of mass density does entry 4 give?
Answer: 8.25 g cm⁻³


Question: Number 1 is which compound?
Answer: K2YAg


Question: Which value of mass density does entry 1 give?
Answer: 2.72 g cm⁻³